Entry from Alexandria via LeMat-Bulk: a relaxed MnIr2Rh crystal (GGA-PBEsol).

POSCAR file:
```
MnIr2Rh
1.0
-1.194 0.301 -4.106
1.987 -2.346 -2.988
-2.052 -3.261 -1.880
Rh Mn Ir
1 1 2
Direct
0.250 0.250 0.250
0.500 0.500 0.500
0.000 0.000 0.000
0.750 0.750 0.750
```

Summary:
E_form = 0.323 eV/atom
space group = No. 216